A plane-wave DFT calculation with PBE-GGA was carried out for an optimized crystal structure of Ni2S3.

Lattice parameters (Å, degrees): 5.879 5.879 10.156 90.00 90.00 120.00
Positions (direct):
1 S 0.661 0.988 0.117
2 Ni 0.333 0.667 0.512
3 S 0.328 0.339 0.117
4 S 0.672 0.012 0.617
5 S 0.339 0.012 0.883
6 Ni 0.667 0.333 0.488
7 Ni 0.667 0.333 0.012
8 S 0.661 0.672 0.383
9 S 0.672 0.661 0.883
10 S 0.988 0.328 0.883
11 Ni 0.000 0.000 0.500
12 S 0.339 0.328 0.617
13 Ni 0.333 0.667 0.250
14 S 0.328 0.988 0.383
15 Ni 0.667 0.333 0.750
16 Ni 0.333 0.667 0.988
17 S 0.988 0.661 0.617
18 S 0.012 0.339 0.383
19 Ni 0.000 0.000 0.000
20 S 0.012 0.672 0.117

## Properties
Calculated volume in A^3/atom: 15.20
E in eV/atom: -4.967
Magnetic moment in μB/cell: 0.0



A plane-wave DFT calculation with PBE-GGA was carried out for an optimized crystal structure of NiS2.

Lattice parameters (Å, degrees): 5.990 2.779 2.779 90.00 103.42 103.42
Positions (direct):
1 Ni 0.000 0.500 0.500
2 S 0.263 0.131 0.131
3 S 0.737 0.869 0.869

## Properties
Calculated volume in A^3/atom: 14.57
E in eV/atom: -4.262
Magnetic moment in μB/cell: 0.1



A plane-wave DFT calculation with PBE-GGA was carried out for an optimized crystal structure of NiS2.

Lattice parameters (Å, degrees): 5.426 5.426 5.426 37.51 37.51 37.51
Positions (direct):
1 Ni 0.999 0.999 0.999
2 S 0.594 0.594 0.594
3 S 0.738 0.738 0.738

## Properties
Calculated volume in A^3/atom: 17.71
E in eV/atom: -4.677
Magnetic moment in μB/cell: 0.0



A plane-wave DFT calculation with PBE-GGA was carried out for an optimized crystal structure of NiS3.

Lattice parameters (Å, degrees): 7.576 7.576 7.576 155.23 155.23 35.31
Site moments in Bohr magnetons follow the coordinates.
Positions (direct):
1 S 0.250 0.750 0.500  0.00
2 S 0.500 0.500 0.000  0.18
3 S 0.750 0.250 0.500  0.00
4 Ni 0.000 0.000 0.000  0.74

## Properties
Calculated volume in A^3/atom: 19.06
E in eV/atom: -4.144
Magnetic moment in μB/cell: 1.0



A plane-wave DFT calculation with PBE-GGA was carried out for an optimized crystal structure of NiS3.

Lattice parameters (Å, degrees): 4.294 4.294 4.294 60.00 60.00 60.00
Positions (direct):
1 Ni 0.750 0.750 0.750
2 S 0.250 0.250 0.250
3 S 0.500 0.500 0.500
4 S 0.000 0.000 0.000

## Properties
Calculated volume in A^3/atom: 13.99
E in eV/atom: -3.673
Magnetic moment in μB/cell: 0.0



A plane-wave DFT calculation with PBE-GGA was carried out for an optimized crystal structure of Ni3S.

Lattice parameters (Å, degrees): 3.997 3.997 3.997 60.00 60.00 60.00
Positions (direct):
1 Ni 0.250 0.250 0.250
2 S 0.750 0.750 0.750
3 Ni 0.000 0.000 0.000
4 Ni 0.500 0.500 0.500

## Properties
Calculated volume in A^3/atom: 11.29
E in eV/atom: -5.055
Magnetic moment in μB/cell: 0.0



A plane-wave DFT calculation with PBE-GGA was carried out for an optimized crystal structure of Ni3S.

Lattice parameters (Å, degrees): 5.582 5.582 3.454 90.00 90.00 120.00
Site moments in Bohr magnetons follow the coordinates.
Positions (direct):
1 Ni 0.178 0.822 0.250  0.31
2 S 0.333 0.667 0.750  0.05
3 Ni 0.178 0.356 0.250  0.28
4 Ni 0.356 0.178 0.750  0.23
5 Ni 0.822 0.644 0.750  0.28
6 S 0.667 0.333 0.250  0.05
7 Ni 0.822 0.178 0.750  0.31
8 Ni 0.644 0.822 0.250  0.23

## Properties
Calculated volume in A^3/atom: 11.65
E in eV/atom: -5.099
Magnetic moment in μB/cell: 1.7



A plane-wave DFT calculation with PBE-GGA was carried out for an optimized crystal structure of Ni3S.

Lattice parameters (Å, degrees): 3.559 3.559 3.559 90.00 90.00 90.00
Site moments in Bohr magnetons follow the coordinates.
Positions (direct):
1 Ni 0.500 0.000 0.500  0.76
2 S 0.000 0.000 0.000  0.16
3 Ni 0.000 0.500 0.500  0.62
4 Ni 0.500 0.500 0.000  0.48

## Properties
Calculated volume in A^3/atom: 11.27
E in eV/atom: -5.093
Magnetic moment in μB/cell: 2.0



A plane-wave DFT calculation with PBE-GGA was carried out for an optimized crystal structure of Ni2S3.

Lattice parameters (Å, degrees): 5.805 3.404 7.808 90.00 102.12 90.00
Positions (direct):
1 Ni 0.719 0.750 0.482
2 Ni 0.281 0.250 0.518
3 S 0.472 0.750 0.678
4 Ni 0.856 0.750 0.832
5 S 0.046 0.750 0.352
6 S 0.528 0.250 0.322
7 S 0.222 0.750 0.995
8 S 0.954 0.250 0.648
9 S 0.778 0.250 0.005
10 Ni 0.144 0.250 0.168

## Properties
Calculated volume in A^3/atom: 15.09
E in eV/atom: -4.951
Magnetic moment in μB/cell: 0.0



A plane-wave DFT calculation with PBE-GGA was carried out for an optimized crystal structure of TlNiSbS3.

Lattice parameters (Å, degrees): 6.812 6.812 10.674 90.00 90.00 146.85
Site moments in Bohr magnetons follow the coordinates.
Positions (direct):
1 Ni 0.083 0.917 0.250  0.46
2 S 0.137 0.863 0.452  0.03
3 Tl 0.772 0.228 0.250  0.01
4 S 0.863 0.137 0.952  0.03
5 S 0.137 0.863 0.048  0.03
6 Tl 0.228 0.772 0.750  0.01
7 S 0.863 0.137 0.548  0.03
8 S 0.506 0.494 0.750  0.07
9 Ni 0.917 0.083 0.750  0.46
10 S 0.494 0.506 0.250  0.07
11 Sb 0.500 0.500 0.000  0.01
12 Sb 0.500 0.500 0.500  0.01

## Properties
Calculated volume in A^3/atom: 22.57
E in eV/atom: -4.289
Magnetic moment in μB/cell: 1.5



A plane-wave DFT calculation with PBE-GGA was carried out for an optimized crystal structure of ScTlNiS3.

Lattice parameters (Å, degrees): 11.037 3.767 11.522 90.00 90.00 90.00
Positions (direct):
1 Tl 0.475 0.000 0.672
2 S 0.278 0.500 0.752
3 Tl 0.025 0.000 0.172
4 Tl 0.525 0.500 0.328
5 S 0.778 0.000 0.748
6 Ni 0.167 0.000 0.772
7 S 0.722 0.000 0.248
8 Ni 0.833 0.500 0.228
9 S 0.564 0.500 0.899
10 S 0.936 0.500 0.399
11 S 0.825 0.500 0.035
12 S 0.222 0.500 0.252
13 Tl 0.975 0.500 0.828
14 S 0.325 0.000 0.465
15 S 0.675 0.500 0.535
16 Sc 0.163 0.500 0.473
17 Sc 0.663 0.000 0.027
18 S 0.064 0.000 0.601
19 S 0.175 0.000 0.965
20 Ni 0.667 0.500 0.728
21 Ni 0.333 0.000 0.272
22 Sc 0.337 0.500 0.973
23 Sc 0.837 0.000 0.527
24 S 0.436 0.000 0.101

## Properties
Calculated volume in A^3/atom: 19.96
E in eV/atom: -5.321
Magnetic moment in μB/cell: 0.0



A plane-wave DFT calculation with PBE-GGA was carried out for an optimized crystal structure of Ni2SeS3.

Lattice parameters (Å, degrees): 8.112 8.112 6.092 90.07 90.07 25.00
Positions (direct):
1 S 0.571 0.571 0.752
2 S 0.936 0.936 0.250
3 S 0.068 0.068 0.251
4 Ni 0.003 0.003 0.913
5 Se 0.419 0.419 0.753
6 Ni 0.502 0.502 0.425

## Properties
Calculated volume in A^3/atom: 28.24
E in eV/atom: -4.557
Magnetic moment in μB/cell: 0.0
Excess energy over the best structure of this formula in the dataset in kJ/mol of atoms: 0.2



A plane-wave DFT calculation with PBE-GGA was carried out for an optimized crystal structure of Ni3Se2S2.

Lattice parameters (Å, degrees): 6.615 6.615 6.615 109.47 109.47 109.47
Positions (direct):
1 Ni 0.300 0.550 0.750
2 Se 0.500 0.000 0.041
3 Ni 0.550 0.750 0.300
4 Ni 0.250 0.200 0.950
5 Se 0.041 0.500 0.000
6 Ni 0.750 0.300 0.550
7 Ni 0.200 0.950 0.250
8 S 0.935 0.935 0.935
9 Ni 0.950 0.250 0.200
10 Se 0.000 0.041 0.500
11 S 0.000 0.565 0.500
12 S 0.500 0.000 0.565
13 Se 0.459 0.459 0.459
14 S 0.565 0.500 0.000

## Properties
Calculated volume in A^3/atom: 15.92
E in eV/atom: -4.757
Magnetic moment in μB/cell: 0.0
Excess energy over the best structure of this formula in the dataset in kJ/mol of atoms: 0.0



A plane-wave DFT calculation with PBE-GGA was carried out for an optimized crystal structure of Ni2SeS3.

Lattice parameters (Å, degrees): 6.103 3.517 7.677 90.00 113.34 90.00
Positions (direct):
1 S 0.168 0.000 0.841
2 S 0.821 0.500 0.144
3 Se 0.337 0.000 0.181
4 S 0.672 0.500 0.845
5 Ni 0.084 0.500 0.995
6 Ni 0.573 0.000 0.995

## Properties
Calculated volume in A^3/atom: 25.22
E in eV/atom: -4.560
Magnetic moment in μB/cell: 0.1
Excess energy over the best structure of this formula in the dataset in kJ/mol of atoms: 0.0



A plane-wave DFT calculation with PBE-GGA was carried out for an optimized crystal structure of NiSeS.

Lattice parameters (Å, degrees): 9.691 9.691 6.043 90.00 90.00 159.37
Positions (direct):
1 Se 0.565 0.435 0.254
2 Se 0.435 0.565 0.254
3 Ni 0.500 0.500 0.606
4 Ni 0.000 0.000 0.058
5 S 0.937 0.063 0.742
6 S 0.063 0.937 0.742

## Properties
Calculated volume in A^3/atom: 33.33
E in eV/atom: -4.446
Magnetic moment in μB/cell: 0.0
Excess energy over the best structure of this formula in the dataset in kJ/mol of atoms: 16.5



A plane-wave DFT calculation with PBE-GGA was carried out for an optimized crystal structure of Ni2Se3S.

Lattice parameters (Å, degrees): 9.834 9.834 6.060 90.30 90.30 20.45
Positions (direct):
1 S 0.062 0.062 0.256
2 Se 0.437 0.437 0.747
3 Se 0.566 0.566 0.748
4 Ni 0.503 0.503 0.403
5 Ni 0.003 0.003 0.934
6 Se 0.930 0.930 0.256

## Properties
Calculated volume in A^3/atom: 34.12
E in eV/atom: -4.353
Magnetic moment in μB/cell: 0.0



A plane-wave DFT calculation with PBE-GGA was carried out for an optimized crystal structure of NiSeS.

Lattice parameters (Å, degrees): 3.502 9.293 9.293 141.69 90.00 90.00
Positions (direct):
1 S 0.000 0.691 0.810
2 Ni 0.500 0.573 0.573
3 Se 0.500 0.323 0.171
4 S 0.000 0.810 0.691
5 Ni 0.000 0.088 0.088
6 Se 0.500 0.171 0.323

## Properties
Calculated volume in A^3/atom: 31.25
E in eV/atom: -4.460
Magnetic moment in μB/cell: 0.0
Excess energy over the best structure of this formula in the dataset in kJ/mol of atoms: 15.2



A plane-wave DFT calculation with PBE-GGA was carried out for an optimized crystal structure of Ni3Se2S2.

Lattice parameters (Å, degrees): 6.330 6.330 8.010 121.84 121.84 68.08
Positions (direct):
1 Se 0.955 0.503 0.642
2 S 0.433 0.433 0.170
3 Ni 0.350 0.350 0.836
4 Se 0.045 0.497 0.358
5 Ni 0.500 0.000 0.000
6 S 0.927 0.927 0.159
7 Ni 0.650 0.650 0.164
8 S 0.073 0.073 0.841
9 Ni 0.820 0.180 0.000
10 Ni 0.180 0.820 0.000
11 Se 0.497 0.045 0.358
12 Ni 0.000 0.500 0.000
13 Se 0.503 0.955 0.642
14 S 0.567 0.567 0.830

## Properties
Calculated volume in A^3/atom: 16.40
E in eV/atom: -4.732
Magnetic moment in μB/cell: 0.0
Excess energy over the best structure of this formula in the dataset in kJ/mol of atoms: 2.4



A plane-wave DFT calculation with PBE-GGA was carried out for an optimized crystal structure of Ni3Se2S2.

Lattice parameters (Å, degrees): 5.177 5.177 5.177 66.74 66.74 66.74
Site moments in Bohr magnetons follow the coordinates.
Positions (direct):
1 Se 0.205 0.205 0.205  0.01
2 Se 0.795 0.795 0.795  0.01
3 S 0.000 0.000 0.000  0.03
4 Ni 0.500 0.000 0.500  0.11
5 Ni 0.000 0.500 0.500  0.09
6 Ni 0.500 0.500 0.000  0.06
7 S 0.500 0.500 0.500  0.02

## Properties
Calculated volume in A^3/atom: 16.04
E in eV/atom: -4.413
Magnetic moment in μB/cell: 0.4
Excess energy over the best structure of this formula in the dataset in kJ/mol of atoms: 33.1



A plane-wave DFT calculation with PBE-GGA was carried out for an optimized crystal structure of NiSeS.

Lattice parameters (Å, degrees): 5.782 5.782 5.782 90.00 90.00 90.00
Positions (direct):
1 S 0.613 0.387 0.887
2 Se 0.883 0.883 0.883
3 Se 0.117 0.383 0.617
4 S 0.113 0.113 0.113
5 S 0.387 0.887 0.613
6 Ni 0.010 0.990 0.490
7 Ni 0.510 0.510 0.510
8 Ni 0.990 0.490 0.010
9 Ni 0.490 0.010 0.990
10 S 0.887 0.613 0.387
11 Se 0.383 0.617 0.117
12 Se 0.617 0.117 0.383

## Properties
Calculated volume in A^3/atom: 16.11
E in eV/atom: -4.618
Magnetic moment in μB/cell: 0.0
Excess energy over the best structure of this formula in the dataset in kJ/mol of atoms: 0.0